Entry A
First-principles (GGA-PBE) data for a geometry-optimized TiVIn structure, as listed in Alexandria.

a b c (Å): 3.281 17.355 3.840
angles (deg): 90.00 90.00 90.00
Space group Cmcm (No. 63)
Asymmetric unit:
Ti (0.000, 0.092, 0.250) [4 per cell]
V (0.000, 0.459, 0.250) [4 per cell]
In (0.000, 0.300, 0.250) [4 per cell]

Values from the calculation:
Size of the total moment ... 0.0 μB/f.u.


Entry B
First-principles (GGA-PBE) data for a geometry-optimized TiVIn structure, as listed in Alexandria.

a b c (Å): 2.786 16.567 4.490
angles (deg): 90.00 90.00 90.00
Space group Cmcm (No. 63)
Asymmetric unit:
Ti (0.000, 0.045, 0.250) [4 per cell]
V (0.000, 0.208, 0.250) [4 per cell]
In (0.000, 0.376, 0.250) [4 per cell]

Values from the calculation:
Size of the total moment ... 0.6 μB/f.u.


Which of them is most stable, and which least? Most stable: entry A; least stable: entry B.